Version 1
Here is a relaxed Tc3BRh crystal from the Alexandria database. Energies are from PBE-GGA.

Unit cell a=4.6530 b=4.6530 c=4.6530 alpha=90.00 beta=90.00 gamma=90.00
Last column: nearest neighbours and their distance in Å.
Fractional positions:
Tc1 0.0000 0.0000 0.5000  2 Rh 2.33
Tc2 0.0000 0.5000 0.0000  2 Rh 2.33
Tc3 0.5000 0.0000 0.0000  2 Rh 2.33
B1 0.5000 0.5000 0.5000  12 Tc 3.29
Rh1 0.0000 0.0000 0.0000  6 Tc 2.33

Its volume is 100.7 Å³ per cell.

Version 2
Here is a relaxed Tc3BRh crystal from the Alexandria database. Energies are from PBE-GGA.

Unit cell a=4.0740 b=4.0740 c=4.0740 alpha=90.00 beta=90.00 gamma=90.00
Last column: nearest neighbours and their distance in Å.
Fractional positions:
Tc1 0.0000 0.0000 0.5000  2 B 2.04
Tc2 0.0000 0.5000 0.0000  2 B 2.04
Tc3 0.5000 0.0000 0.0000  2 B 2.04
B1 0.0000 0.0000 0.0000  6 Tc 2.04
Rh1 0.5000 0.5000 0.5000  12 Tc 2.88

Its volume is 67.6 Å³ per cell.

Most stable one: version 2, least stable one: version 1.

Version 1
Here is a relaxed TiTcBTeRh crystal from the Alexandria database. Energies are from PBE-GGA.

Unit cell a=5.2643 b=5.2643 c=4.6808 alpha=94.27 beta=94.27 gamma=35.55
Last column: nearest neighbours and their distance in Å.
Fractional positions:
Ti1 0.0000 0.0000 0.0000  2 B 2.36-2.51
Tc1 0.6852 0.6852 0.2865  2 B 2.26
B1 0.0675 0.0675 0.4947  2 Rh 2.10, 2 Tc 2.26
Te1 0.2594 0.2594 0.8559  1 B 2.46, 1 Rh 2.60, 2 Tc 2.73, 1 Ti 2.74
Rh1 0.4325 0.4325 0.4698  2 B 2.10

Its volume is 75.2 Å³ per cell.

Version 2
Here is a relaxed TiTcBTeRh crystal from the Alexandria database. Energies are from PBE-GGA.

Unit cell a=4.4451 b=4.4451 c=5.8195 alpha=107.96 beta=107.96 gamma=48.98
Last column: nearest neighbours and their distance in Å.
Fractional positions:
Ti1 0.0000 0.0000 0.0000  2 Rh 2.40, 3 B 2.42-2.49, 1 Tc 2.48
Tc1 0.7731 0.7731 0.2001  2 B 2.17
B1 0.3148 0.3148 0.0312  2 Tc 2.17, 2 Ti 2.42
Te1 0.1315 0.1315 0.5014  3 Rh 2.61-2.81, 1 Ti 2.75, 1 Tc 2.83
Rh1 0.4715 0.4715 0.7244  2 Ti 2.40, 1 B 2.52, 1 Te 2.61

Its volume is 81.6 Å³ per cell.

Most stable one: version 1, least stable one: version 2.

Version 1
Here is a relaxed TiTcBTeRh crystal from the Alexandria database. Energies are from PBE-GGA.

Unit cell a=6.7139 b=6.7139 c=4.3011 alpha=98.38 beta=98.38 gamma=26.76
Last column: nearest neighbours and their distance in Å.
Fractional positions:
Ti1 0.0000 0.0000 0.0000  2 B 2.36-2.51, 2 Tc 2.56
Tc1 0.4695 0.4695 0.4503  2 B 2.20
B1 0.0888 0.0888 0.5598  2 Rh 2.06, 2 Tc 2.20
Te1 0.7950 0.7950 0.3627  2 Rh 2.71-2.81, 2 Tc 2.74
Rh1 0.6611 0.6611 0.8179  2 B 2.06

Its volume is 86.3 Å³ per cell.

Version 2
Here is a relaxed TiTcBTeRh crystal from the Alexandria database. Energies are from PBE-GGA.

Unit cell a=4.2903 b=4.2903 c=6.6527 alpha=97.54 beta=97.54 gamma=45.13
Last column: nearest neighbours and their distance in Å.
Fractional positions:
Ti1 0.0000 0.0000 0.0000  2 B 2.27, 1 Rh 2.47
Tc1 0.6779 0.6779 0.7848  2 B 2.13
B1 0.3510 0.3510 0.8188  2 Tc 2.13, 2 Ti 2.27, 1 Rh 2.29
Te1 0.6232 0.6232 0.3855  1 Tc 2.63, 3 Rh 2.79
Rh1 0.3029 0.3029 0.1506  1 B 2.29, 1 Ti 2.47

Its volume is 85.9 Å³ per cell.

Version 3
Here is a relaxed TiTcBTeRh crystal from the Alexandria database. Energies are from PBE-GGA.

Unit cell a=4.3588 b=4.3588 c=5.6084 alpha=90.07 beta=90.07 gamma=47.17
Last column: nearest neighbours and their distance in Å.
Fractional positions:
Ti1 0.0000 0.0000 0.0000  2 B 2.37, 3 Rh 2.62
Tc1 0.0055 0.0055 0.5236  2 B 2.21
B1 0.5825 0.5825 0.7381  2 Tc 2.21, 1 Rh 2.31, 2 Ti 2.37
Te1 0.2938 0.2938 0.2932  3 Tc 2.64-2.75, 2 Rh 2.74-2.87, 3 Ti 2.86-2.91
Rh1 0.2975 0.2975 0.8042  3 B 2.31-2.48

Its volume is 78.1 Å³ per cell.

Most stable one: version 3, least stable one: version 1.

Version 1
Here is a relaxed BTeRh3 crystal from the Alexandria database. Energies are from PBE-GGA.

Unit cell a=4.8454 b=4.8454 c=4.8454 alpha=90.00 beta=90.00 gamma=90.00
Last column: nearest neighbours and their distance in Å.
Fractional positions:
B1 0.0000 0.0000 0.0000  12 Rh 3.43
Te1 0.5000 0.5000 0.5000  6 Rh 2.42
Rh1 0.0000 0.5000 0.5000  2 Te 2.42
Rh2 0.5000 0.0000 0.5000  2 Te 2.42
Rh3 0.5000 0.5000 0.0000  2 Te 2.42

Its volume is 113.8 Å³ per cell.

Version 2
Here is a relaxed BTeRh3 crystal from the Alexandria database. Energies are from PBE-GGA.

Unit cell a=4.2119 b=4.2119 c=4.2119 alpha=90.00 beta=90.00 gamma=90.00
Last column: nearest neighbours and their distance in Å.
Fractional positions:
B1 0.0000 0.0000 0.0000  6 Rh 2.11
Te1 0.5000 0.5000 0.5000  12 Rh 2.98
Rh1 0.0000 0.0000 0.5000  2 B 2.11
Rh2 0.0000 0.5000 0.0000  2 B 2.11
Rh3 0.5000 0.0000 0.0000  2 B 2.11

Its volume is 74.7 Å³ per cell.

Most stable one: version 2, least stable one: version 1.

Version 1
Here is a relaxed BTeRh2 crystal from the Alexandria database. Energies are from PBE-GGA.

Unit cell a=4.3491 b=4.3491 c=4.3491 alpha=60.00 beta=60.00 gamma=60.00
Last column: nearest neighbours and their distance in Å.
Fractional positions:
B1 0.0000 0.0000 0.0000  8 Rh 2.66
Te1 0.5000 0.5000 0.5000  8 Rh 2.66
Rh1 0.2500 0.2500 0.2500  4 Te 2.66, 4 B 2.66
Rh2 0.7500 0.7500 0.7500  4 Te 2.66, 4 B 2.66

Its volume is 58.2 Å³ per cell.

Version 2
Here is a relaxed BTeRh2 crystal from the Alexandria database. Energies are from PBE-GGA.

Unit cell a=6.5422 b=6.5422 c=6.5422 alpha=133.80 beta=133.80 gamma=67.40
Last column: nearest neighbours and their distance in Å.
Fractional positions:
B1 0.0000 0.0000 0.0000  4 Rh 2.03
B2 0.7500 0.2500 0.5000  4 Rh 2.03
Te1 0.2500 0.7500 0.5000  4 Rh 2.58
Te2 0.5000 0.5000 0.0000  4 Rh 2.58
Rh1 0.0293 0.6250 0.9043  2 B 2.03
Rh2 0.3750 0.2793 0.4043  2 B 2.03
Rh3 0.7207 0.1250 0.0957  2 B 2.03
Rh4 0.8750 0.9707 0.5957  2 B 2.03

Its volume is 143.4 Å³ per cell.

Most stable one: version 2, least stable one: version 1.

Version 1
Here is a relaxed TiBTeRh crystal from the Alexandria database. Energies are from PBE-GGA.

Unit cell a=4.3499 b=4.3499 c=6.5106 alpha=123.51 beta=123.51 gamma=45.10
Last column: nearest neighbours and their distance in Å.
Fractional positions:
Ti1 0.0000 0.0000 0.0000  2 B 2.30
B1 0.2606 0.2606 0.8810  2 Rh 2.03
Te1 0.7206 0.7206 0.4276  3 Rh 2.72-2.88, 3 Ti 2.79-2.99
Rh1 0.5836 0.5836 0.7223  2 B 2.03

Its volume is 70.0 Å³ per cell.

Version 2
Here is a relaxed TiBTeRh crystal from the Alexandria database. Energies are from PBE-GGA.

Unit cell a=6.6246 b=6.6246 c=6.6246 alpha=29.54 beta=29.54 gamma=29.54
Last column: nearest neighbours and their distance in Å.
Fractional positions:
Ti1 0.0000 0.0000 0.0000  3 B 2.31
B1 0.2681 0.2681 0.2681  3 Rh 2.14, 3 Ti 2.31
Te1 0.7693 0.7693 0.7693  3 Ti 2.76, 3 Rh 2.99
Rh1 0.5552 0.5552 0.5552  3 B 2.14

Its volume is 62.5 Å³ per cell.

Most stable one: version 2, least stable one: version 1.

Version 1
Here is a relaxed TiBTeRh crystal from the Alexandria database. Energies are from PBE-GGA.

Unit cell a=4.0827 b=4.3298 c=3.9371 alpha=90.00 beta=90.00 gamma=90.00
Last column: nearest neighbours and their distance in Å.
Fractional positions:
Ti1 0.0000 0.0000 0.0000  2 B 2.18
B1 0.0000 0.5000 0.0595  2 Rh 2.04, 2 Ti 2.18
Te1 0.5000 0.0000 0.5112  2 Rh 2.76, 4 Ti 2.81-2.87
Rh1 0.5000 0.5000 0.0747  2 B 2.04

Its volume is 69.6 Å³ per cell.

Version 2
Here is a relaxed TiBTeRh crystal from the Alexandria database. Energies are from PBE-GGA.

Unit cell a=3.5791 b=3.3858 c=5.5435 alpha=90.00 beta=108.13 gamma=90.00
Last column: nearest neighbours and their distance in Å.
Fractional positions:
Ti1 0.0000 0.0000 0.0000  2 B 2.38, 2 Rh 2.53-2.65
B1 0.3707 0.5000 0.8742  2 Rh 2.11
Te1 0.7060 0.5000 0.3252  1 B 2.41
Rh1 0.3518 0.0000 0.6450  2 B 2.11

Its volume is 63.8 Å³ per cell.

Version 3
Here is a relaxed TiBTeRh crystal from the Alexandria database. Energies are from PBE-GGA.

Unit cell a=3.3798 b=3.3798 c=6.7293 alpha=90.00 beta=90.00 gamma=120.00
Last column: nearest neighbours and their distance in Å.
Fractional positions:
Ti1 0.0000 0.0000 0.0000  3 B 2.34
B1 0.6667 0.3333 0.8074  3 Rh 2.10, 3 Ti 2.34
Te1 0.3333 0.6667 0.2877  1 Rh 2.72, 3 Ti 2.75
Rh1 0.3333 0.6667 0.6917  3 B 2.10

Its volume is 66.6 Å³ per cell.

Most stable one: version 3, least stable one: version 1.

Version 1
Here is a relaxed TiB2Rh2 crystal from the Alexandria database. Energies are from PBE-GGA.

Unit cell a=6.3755 b=6.3755 c=2.7223 alpha=90.00 beta=90.00 gamma=90.00
Last column: nearest neighbours and their distance in Å.
Fractional positions:
Ti1 0.0000 0.0000 0.0000  4 B 2.45, 2 Ti 2.72
Ti2 0.5000 0.5000 0.0000  4 B 2.45, 2 Ti 2.72
B1 0.1437 0.3563 0.0000  6 Rh 2.28-2.34, 2 Ti 2.45
B2 0.3563 0.8563 0.0000  6 Rh 2.28-2.34, 2 Ti 2.45
B3 0.6437 0.1437 0.0000  6 Rh 2.28-2.34, 2 Ti 2.45
B4 0.8563 0.6437 0.0000  6 Rh 2.28-2.34, 2 Ti 2.45
Rh1 0.1539 0.6539 0.5000  6 B 2.28-2.34
Rh2 0.3461 0.1539 0.5000  6 B 2.28-2.34
Rh3 0.6539 0.8461 0.5000  6 B 2.28-2.34
Rh4 0.8461 0.3461 0.5000  6 B 2.28-2.34

Its volume is 110.7 Å³ per cell.

Version 2
Here is a relaxed TiB2Rh2 crystal from the Alexandria database. Energies are from PBE-GGA.

Unit cell a=4.9282 b=4.9282 c=4.9282 alpha=135.60 beta=135.60 gamma=64.61
Last column: nearest neighbours and their distance in Å.
Fractional positions:
Ti1 0.0000 0.0000 0.0000  8 B 2.78, 8 Rh 2.79
B1 0.3936 0.3936 0.0000  1 B 1.77
B2 0.6064 0.6064 0.0000  1 B 1.77
Rh1 0.2500 0.7500 0.5000  4 B 2.21
Rh2 0.7500 0.2500 0.5000  4 B 2.21

Its volume is 57.8 Å³ per cell.

Most stable one: version 2, least stable one: version 1.

Version 1
Here is a relaxed Tl2BRh crystal from the Alexandria database. Energies are from PBE-GGA.

Unit cell a=4.7351 b=4.7351 c=4.7351 alpha=60.00 beta=60.00 gamma=60.00
Last column: nearest neighbours and their distance in Å.
Fractional positions:
Tl1 0.2500 0.2500 0.2500  4 Rh 2.90, 4 B 2.90
Tl2 0.7500 0.7500 0.7500  4 Rh 2.90, 4 B 2.90
B1 0.0000 0.0000 0.0000  8 Tl 2.90
Rh1 0.5000 0.5000 0.5000  8 Tl 2.90

Its volume is 75.1 Å³ per cell.

Version 2
Here is a relaxed Tl2BRh crystal from the Alexandria database. Energies are from PBE-GGA.

Unit cell a=5.8394 b=5.8394 c=5.8394 alpha=105.57 beta=105.57 gamma=117.60
Last column: nearest neighbours and their distance in Å.
Fractional positions:
Tl1 0.0824 0.6250 0.9574  2 B 2.42
Tl2 0.3750 0.3324 0.4574  2 B 2.42
Tl3 0.6676 0.1250 0.0426  2 B 2.42
Tl4 0.8750 0.9176 0.5426  2 B 2.42
B1 0.0000 0.0000 0.0000  4 Tl 2.42
B2 0.7500 0.2500 0.5000  4 Tl 2.42
Rh1 0.2500 0.7500 0.5000  4 Tl 2.82, 2 B 3.02
Rh2 0.5000 0.5000 0.0000  4 Tl 2.82, 2 B 3.02

Its volume is 150.9 Å³ per cell.

Most stable one: version 2, least stable one: version 1.

Version 1
Here is a relaxed TlB2Rh crystal from the Alexandria database. Energies are from PBE-GGA.

Unit cell a=4.1711 b=4.1711 c=4.1711 alpha=60.00 beta=60.00 gamma=60.00
Last column: nearest neighbours and their distance in Å.
Fractional positions:
Tl1 0.0000 0.0000 0.0000  8 B 2.55
B1 0.2500 0.2500 0.2500  4 Rh 2.55, 4 Tl 2.55
B2 0.7500 0.7500 0.7500  4 Tl 2.55, 4 Rh 2.55
Rh1 0.5000 0.5000 0.5000  8 B 2.55

Its volume is 51.3 Å³ per cell.

Version 2
Here is a relaxed TlB2Rh crystal from the Alexandria database. Energies are from PBE-GGA.

Unit cell a=8.1502 b=8.1502 c=8.1502 alpha=152.56 beta=152.56 gamma=39.19
Last column: nearest neighbours and their distance in Å.
Fractional positions:
Tl1 0.3750 0.6250 0.7500  4 Rh 2.73, 8 B 2.89
Tl2 0.6250 0.3750 0.2500  4 Rh 2.73, 8 B 2.89
B1 0.0000 0.0000 0.0000  2 B 1.93, 2 Rh 2.15
B2 0.0000 0.0000 0.5000  2 B 1.93, 2 Rh 2.15
B3 0.0000 0.5000 0.0000  2 B 1.93, 2 Rh 2.15
B4 0.5000 0.0000 0.5000  2 B 1.93, 2 Rh 2.15
Rh1 0.1250 0.8750 0.2500  4 B 2.15
Rh2 0.8750 0.1250 0.7500  4 B 2.15

Its volume is 114.7 Å³ per cell.

Most stable one: version 2, least stable one: version 1.

Version 1
Here is a relaxed TlB3Rh crystal from the Alexandria database. Energies are from PBE-GGA.

Unit cell a=4.2093 b=4.2093 c=4.2093 alpha=90.00 beta=90.00 gamma=90.00
Last column: nearest neighbours and their distance in Å.
Fractional positions:
Tl1 0.0000 0.0000 0.0000  12 B 2.98
B1 0.0000 0.5000 0.5000  2 Rh 2.10
B2 0.5000 0.0000 0.5000  2 Rh 2.10
B3 0.5000 0.5000 0.0000  2 Rh 2.10
Rh1 0.5000 0.5000 0.5000  6 B 2.10

Its volume is 74.6 Å³ per cell.

Version 2
Here is a relaxed TlB3Rh crystal from the Alexandria database. Energies are from PBE-GGA.

Unit cell a=4.3785 b=4.3785 c=4.3785 alpha=90.00 beta=90.00 gamma=90.00
Last column: nearest neighbours and their distance in Å.
Fractional positions:
Tl1 0.0000 0.0000 0.0000  6 B 2.19
B1 0.0000 0.0000 0.5000  2 Tl 2.19
B2 0.0000 0.5000 0.0000  2 Tl 2.19
B3 0.5000 0.0000 0.0000  2 Tl 2.19
Rh1 0.5000 0.5000 0.5000  12 B 3.10

Its volume is 83.9 Å³ per cell.

Most stable one: version 1, least stable one: version 2.

Version 1
Here is a relaxed TmB4Rh crystal from the Alexandria database. Energies are from PBE-GGA.

Unit cell a=5.9295 b=11.4938 c=3.5403 alpha=90.00 beta=90.00 gamma=90.00
Last column: nearest neighbours and their distance in Å.
Fractional positions:
Tm1 0.1316 0.1488 0.0000  14 B 2.61-2.76
Tm2 0.3684 0.6488 0.0000  14 B 2.61-2.76
Tm3 0.6316 0.3512 0.0000  14 B 2.61-2.76
Tm4 0.8684 0.8512 0.0000  14 B 2.61-2.76
B1 0.0219 0.6935 0.5000  3 B 1.76-1.86
B2 0.1128 0.5475 0.5000  3 B 1.73-1.76
B3 0.1352 0.9695 0.5000  3 B 1.74-1.86
B4 0.2082 0.8126 0.5000  3 B 1.76-1.86
B5 0.2918 0.3126 0.5000  3 B 1.76-1.86
B6 0.3648 0.4695 0.5000  3 B 1.74-1.86
B7 0.3872 0.0475 0.5000  3 B 1.73-1.76
B8 0.4781 0.1935 0.5000  3 B 1.76-1.86
B9 0.5219 0.8065 0.5000  3 B 1.76-1.86
B10 0.6128 0.9525 0.5000  3 B 1.73-1.76
B11 0.6352 0.5305 0.5000  3 B 1.74-1.86
B12 0.7082 0.6874 0.5000  3 B 1.76-1.86
B13 0.7918 0.1874 0.5000  3 B 1.76-1.86
B14 0.8648 0.0305 0.5000  3 B 1.74-1.86
B15 0.8872 0.4525 0.5000  3 B 1.73-1.76
B16 0.9781 0.3065 0.5000  3 B 1.76-1.86
Rh1 0.1424 0.4050 0.0000  10 B 2.25-2.42
Rh2 0.3576 0.9050 0.0000  10 B 2.25-2.42
Rh3 0.6424 0.0950 0.0000  10 B 2.25-2.42
Rh4 0.8576 0.5950 0.0000  10 B 2.25-2.42

Its volume is 241.3 Å³ per cell.

Version 2
Here is a relaxed TmB4Rh crystal from the Alexandria database. Energies are from PBE-GGA.

Unit cell a=4.4879 b=4.4879 c=4.4879 alpha=60.00 beta=60.00 gamma=60.00
Last column: nearest neighbours and their distance in Å.
Fractional positions:
Tm1 0.0000 0.0000 0.0000  12 B 2.60, 4 Rh 2.75
B1 0.3480 0.3480 0.3480  3 B 1.76
B2 0.3480 0.3480 0.9559  3 B 1.76
B3 0.3480 0.9559 0.3480  3 B 1.76
B4 0.9559 0.3480 0.3480  3 B 1.76
Rh1 0.7500 0.7500 0.7500  12 B 2.70, 4 Tm 2.75

Its volume is 63.9 Å³ per cell.

Most stable one: version 1, least stable one: version 2.